1.
# Ag3As PBE relaxed
# * SG: No. 63
# * energy of formation from the pure elements: 160 meV per atom
data_Ag3As
_chemical_formula_sum 'Ag6 As2'
_cell_length_a 5.777
_cell_length_b 5.777
_cell_length_c 4.804
_cell_angle_alpha 90.00
_cell_angle_beta 90.00
_cell_angle_gamma 92.71
_symmetry_space_group_name_H-M 'P 1'
_symmetry_Int_Tables_number 1
loop_
_symmetry_equiv_pos_as_xyz
'x,y,z'
loop_
_atom_site_label
_atom_site_fract_x
_atom_site_fract_y
_atom_site_fract_z
Ag1 0.115 0.885 0.250
Ag2 0.639 0.990 0.250
Ag3 0.010 0.361 0.250
Ag4 0.885 0.115 0.750
Ag5 0.361 0.010 0.750
Ag6 0.990 0.639 0.750
As1 0.432 0.568 0.250
As2 0.568 0.432 0.750

---

2.
# KPuTcO6 PBE relaxed
# * SG: No. 74
# * ΔE_f (raw): -2.00 eV/atom
data_KPuTcO6
_chemical_formula_sum 'K2 Pu2 Tc2 O12'
_cell_length_a 7.730
_cell_length_b 7.334
_cell_length_c 7.517
_cell_angle_alpha 119.20
_cell_angle_beta 120.94
_cell_angle_gamma 90.00
_symmetry_space_group_name_H-M 'P 1'
_symmetry_Int_Tables_number 1
loop_
_symmetry_equiv_pos_as_xyz
'x,y,z'
loop_
_atom_site_label
_atom_site_fract_x
_atom_site_fract_y
_atom_site_fract_z
K1 0.135 0.385 0.270
K2 0.865 0.615 0.730
O1 0.195 0.331 0.748
O2 0.829 0.079 0.658
O3 0.458 0.708 0.917
O4 0.805 0.082 0.252
O5 0.554 0.331 0.748
O6 0.554 0.918 0.748
O7 0.805 0.669 0.252
O8 0.542 0.292 0.083
O9 0.195 0.918 0.748
O10 0.446 0.082 0.252
O11 0.171 0.921 0.342
O12 0.446 0.669 0.252
Pu1 0.500 0.000 0.500
Pu2 0.000 0.000 0.500
Tc1 0.500 0.000 0.000
Tc2 0.500 0.500 0.000

---

3.
# La8Si3SbBr4 PBE relaxed
# * SG: No. 166
# * ΔE_f (raw): -1.20 eV/atom
data_La8Si3SbBr4
_chemical_formula_sum 'La8 Si3 Sb1 Br4'
_cell_length_a 8.895
_cell_length_b 8.919
_cell_length_c 8.896
_cell_angle_alpha 119.94
_cell_angle_beta 120.00
_cell_angle_gamma 90.00
_symmetry_space_group_name_H-M 'P 1'
_symmetry_Int_Tables_number 1
loop_
_symmetry_equiv_pos_as_xyz
'x,y,z'
loop_
_atom_site_label
_atom_site_fract_x
_atom_site_fract_y
_atom_site_fract_z
Si1 0.500 0.500 0.500
Si2 0.000 0.500 0.500
Si3 0.500 0.500 0.000
Br1 0.500 0.000 0.500
Br2 0.500 0.000 0.000
Br3 0.000 0.000 0.000
Br4 0.000 0.000 0.500
La1 0.751 0.277 0.027
La2 0.262 0.285 0.523
La3 0.276 0.277 0.027
La4 0.750 0.277 0.501
La5 0.724 0.723 0.973
La6 0.250 0.723 0.499
La7 0.249 0.723 0.973
La8 0.738 0.715 0.477
Sb1 0.000 0.500 0.000

---

4.
# NaCr3In PBE relaxed
# * SG: No. 221
# * energy of formation from the pure elements: 1739 meV per atom
# * distance to the lowest polymorph of the same formula: 9.99 kcal/mol of atoms
data_NaCr3In
_chemical_formula_sum 'Na1 Cr3 In1'
_cell_length_a 4.985
_cell_length_b 4.985
_cell_length_c 4.985
_cell_angle_alpha 90.00
_cell_angle_beta 90.00
_cell_angle_gamma 90.00
_symmetry_space_group_name_H-M 'P 1'
_symmetry_Int_Tables_number 1
loop_
_symmetry_equiv_pos_as_xyz
'x,y,z'
loop_
_atom_site_label
_atom_site_fract_x
_atom_site_fract_y
_atom_site_fract_z
Cr1 0.000 0.000 0.500
Cr2 0.500 0.000 0.000
Cr3 0.000 0.500 0.000
In1 0.500 0.500 0.500
Na1 0.000 0.000 0.000

---

5.
# LiCu3Pd PBE relaxed
# * SG: No. 221
# * energy of formation from the pure elements: 599 meV per atom
# * distance to the lowest polymorph of the same formula: 13.95 kcal/mol of atoms
data_LiCu3Pd
_chemical_formula_sum 'Li1 Cu3 Pd1'
_cell_length_a 4.718
_cell_length_b 4.718
_cell_length_c 4.718
_cell_angle_alpha 90.00
_cell_angle_beta 90.00
_cell_angle_gamma 90.00
_symmetry_space_group_name_H-M 'P 1'
_symmetry_Int_Tables_number 1
loop_
_symmetry_equiv_pos_as_xyz
'x,y,z'
loop_
_atom_site_label
_atom_site_fract_x
_atom_site_fract_y
_atom_site_fract_z
Cu1 0.000 0.000 0.500
Cu2 0.000 0.500 0.000
Cu3 0.500 0.000 0.000
Pd1 0.000 0.000 0.000
Li1 0.500 0.500 0.500

---

6.
# Na2Cu4P2ClO9 PBE relaxed
# * SG: No. 63
# * ΔE_f (raw): -1.47 eV/atom
data_Na2Cu4P2ClO9
_chemical_formula_sum 'Na4 Cu8 P4 Cl2 O18'
_cell_length_a 8.595
_cell_length_b 8.595
_cell_length_c 6.526
_cell_angle_alpha 90.00
_cell_angle_beta 90.00
_cell_angle_gamma 105.29
_symmetry_space_group_name_H-M 'P 1'
_symmetry_Int_Tables_number 1
loop_
_symmetry_equiv_pos_as_xyz
'x,y,z'
loop_
_atom_site_label
_atom_site_fract_x
_atom_site_fract_y
_atom_site_fract_z
Cu1 0.377 0.377 0.250
Cu2 0.623 0.623 0.750
Cu3 0.686 0.913 0.250
Cu4 0.000 0.000 0.000
Cu5 0.000 0.000 0.500
Cu6 0.087 0.314 0.750
Cu7 0.314 0.087 0.750
Cu8 0.913 0.686 0.250
O1 0.015 0.261 0.055
O2 0.791 0.507 0.750
O3 0.507 0.791 0.750
O4 0.261 0.015 0.445
O5 0.090 0.090 0.750
O6 0.493 0.209 0.250
O7 0.098 0.542 0.750
O8 0.985 0.739 0.555
O9 0.739 0.985 0.555
O10 0.015 0.261 0.445
O11 0.985 0.739 0.945
O12 0.910 0.910 0.250
O13 0.261 0.015 0.055
O14 0.458 0.902 0.250
O15 0.542 0.098 0.750
O16 0.739 0.985 0.945
O17 0.209 0.493 0.250
O18 0.902 0.458 0.250
Cl1 0.602 0.602 0.250
Cl2 0.398 0.398 0.750
Na1 0.297 0.703 0.500
Na2 0.703 0.297 0.500
Na3 0.703 0.297 0.000
Na4 0.297 0.703 0.000
P1 0.962 0.631 0.750
P2 0.369 0.038 0.250
P3 0.038 0.369 0.250
P4 0.631 0.962 0.750

---

The calculation returns the following total magnetization values, one per record and in order: 0.00 6.18 0.00 13.57 0.00 2.03 μB/cell.